An optimized crystal structure of CoPt. Source: Alexandria via LeMat-Bulk, functional PBE.

Structure (CIF):
```
data_CoPt
_cell_length_a 2.6999
_cell_length_b 2.6999
_cell_length_c 8.6653
_cell_angle_alpha 90.00
_cell_angle_beta 90.00
_cell_angle_gamma 120.00
_symmetry_space_group_name_H-M 'P -3 m 1'
_symmetry_Int_Tables_number 164
_symmetry_space_group_name_Hall '-P 3 2"'
loop_
_atom_site_label
_atom_site_fract_x
_atom_site_fract_y
_atom_site_fract_z
Co1 0.3333 0.6667 0.3923
Pt1 0.3333 0.6667 0.8548
```

Results
Total magnetic moment: 4.34 Bohr magnetons per cell
E_form: -0.028 eV per atom